1.
# MgCu2As, PBEsol geometry, DFT SCAN
# Magnetization (μB/cell): 0.00
# Calculated total energy (eV per atom): -13.947
# Crystal system: tetragonal
data_MgCu2As
_symmetry_space_group_name_H-M 'I -4 m 2'
_symmetry_Int_Tables_number 119
_symmetry_space_group_name_Hall 'I -4 -2'
_cell_length_a 3.803
_cell_length_b 3.803
_cell_length_c 7.883
_cell_angle_alpha 90.00
_cell_angle_beta 90.00
_cell_angle_gamma 90.00
loop_
_atom_site_label
_atom_site_fract_x
_atom_site_fract_y
_atom_site_fract_z
_atom_site_occupancy
Mg1 0.000 0.000 0.000 1
Cu1 0.000 0.000 0.500 1
Cu2 0.000 0.500 0.750 1
As1 0.000 0.500 0.250 1

=====

2.
# MgCuAs2, PBEsol geometry, DFT SCAN
# Magnetization (μB/cell): 0.00
# Calculated total energy (eV per atom): -15.256
# Crystal system: tetragonal
data_MgCuAs2
_symmetry_space_group_name_H-M 'I -4 2 d'
_symmetry_Int_Tables_number 122
_symmetry_space_group_name_Hall 'I -4 2bw'
_cell_length_a 4.465
_cell_length_b 4.465
_cell_length_c 15.489
_cell_angle_alpha 90.00
_cell_angle_beta 90.00
_cell_angle_gamma 90.00
loop_
_atom_site_label
_atom_site_fract_x
_atom_site_fract_y
_atom_site_fract_z
_atom_site_occupancy
Mg1 0.000 0.000 0.000 1
Cu1 0.000 0.000 0.500 1
As1 0.195 0.250 0.625 1

=====

We obtain formation enthalpy at 0 K values of -0.06 -0.12 eV/atom for the records listed above, in that order.